A plane-wave DFT calculation with PBE was carried out for a relaxed structure of SmTl2GaBr6.

It has space group R3 (No. 146, hexagonal axes), with a = 8.0790 Å, b = 8.0790 Å, c = 20.5695 Å, α = 90.00°, β = 90.00° and γ = 120.00°. The asymmetric unit holds Sm at (0.0000, 0.0000, 0.0000), Tl at (0.0000, 0.0000, 0.2970), Tl at (0.0000, 0.0000, 0.7901), Ga at (0.0000, 0.0000, 0.5067), Br at (0.0072, 0.4061, 0.7410) and Br at (0.0773, 0.7125, 0.5794).

The calculated volume is 388 Å³/f.u. The value obtained for the size of the total moment is 0.00 Bohr magnetons per cell.

A plane-wave DFT calculation with PBE was carried out for a relaxed structure of SmTlGa2Br6.

It has space group R3 (No. 146, hexagonal axes), with a = 7.8702 Å, b = 7.8702 Å, c = 21.1478 Å, α = 90.00°, β = 90.00° and γ = 120.00°. The asymmetric unit holds Sm at (0.0000, 0.0000, 0.0000), Tl at (0.0000, 0.0000, 0.5105), Ga at (0.0000, 0.0000, 0.3152), Ga at (0.0000, 0.0000, 0.8080), Br at (0.0122, 0.3678, 0.7363) and Br at (0.0237, 0.7293, 0.9113).

The calculated volume is 378 Å³/f.u. The value obtained for the size of the total moment is 0.00 Bohr magnetons per cell.

Number 1: ΔE_f (raw) -12.1 eV per formula unit. Number 2: ΔE_f (raw) -11.4 eV per formula unit.